No. 1
The following is a DFT calculation (PBE) of an optimized crystal structure of AgBr3.

Computed properties:
The space-group type is R-3m, No. 166.

a b c (Å): 8.3916 8.3916 8.3916
angles (deg): 29.93 29.93 29.93
Last column: nearest neighbours and their distance in Å.
Positions (direct):
1 Ag 0.5000 0.5000 0.5000  6 Br 2.88
2 Br 0.0000 0.0000 0.0000  2 Br 2.58
3 Br 0.1072 0.1072 0.1072  1 Br 2.58, 3 Ag 2.88
4 Br 0.8928 0.8928 0.8928  1 Br 2.58, 3 Ag 2.88

No. 2
The following is a DFT calculation (PBE) of an optimized crystal structure of Al6W7.

Computed properties:
The space-group type is R-3m, No. 166. The energy above the lowest structure with this stoichiometry comes out at 0 meV per atom.

a b c (Å): 9.5748 9.5748 9.5748
angles (deg): 30.32 30.32 30.32
Last column: nearest neighbours and their distance in Å.
Positions (direct):
1 Al 0.5878 0.0863 0.0863  4 Al 2.50-2.51, 4 W 2.62-2.76
2 Al 0.0863 0.5878 0.0863  4 Al 2.50-2.51, 4 W 2.62-2.76
3 Al 0.9137 0.9137 0.4122  4 Al 2.50-2.51, 4 W 2.62-2.76
4 Al 0.0863 0.0863 0.5878  4 Al 2.50-2.51, 4 W 2.62-2.76
5 Al 0.9137 0.4122 0.9137  4 Al 2.50-2.51, 4 W 2.62-2.76
6 Al 0.4122 0.9137 0.9137  4 Al 2.50-2.51, 4 W 2.62-2.76
7 W 0.0000 0.0000 0.0000  6 Al 2.62
8 W 0.1679 0.1679 0.1679  6 Al 2.76-2.81, 3 W 2.89
9 W 0.3587 0.3587 0.3587  1 W 2.59
10 W 0.4534 0.4534 0.4534  2 W 2.55-2.59, 6 Al 2.74
11 W 0.5466 0.5466 0.5466  2 W 2.55-2.59, 6 Al 2.74
12 W 0.6413 0.6413 0.6413  1 W 2.59
13 W 0.8321 0.8321 0.8321  6 Al 2.76-2.81, 3 W 2.89

No. 3
The following is a DFT calculation (PBE) of an optimized crystal structure of TbErPd2.

Computed properties:
The space-group type is Pmc2_1, No. 26. For the formation energy, the calculation gives -928.6 meV per atom. The energy above the lowest structure with this stoichiometry comes out at 8 meV per atom.

a b c (Å): 4.4483 5.6704 6.9167
angles (deg): 90.00 90.00 90.00
Last column: nearest neighbours and their distance in Å.
Positions (direct):
1 Er 0.5000 0.1086 0.1819  7 Pd 2.93-3.06
2 Er 0.5000 0.8914 0.6819  7 Pd 2.93-3.06
3 Pd 0.5000 0.5975 0.0418  2 Pd 2.89, 4 Tb 2.94-2.95, 3 Er 2.94-3.06
4 Pd 0.0000 0.0936 0.4577  2 Pd 2.89, 3 Tb 2.91-3.08, 4 Er 2.93-2.94
5 Pd 0.5000 0.4025 0.5418  2 Pd 2.89, 4 Tb 2.94-2.95, 3 Er 2.94-3.06
6 Pd 0.0000 0.9064 0.9577  2 Pd 2.89, 3 Tb 2.91-3.08, 4 Er 2.93-2.94
7 Tb 0.0000 0.6089 0.3186  7 Pd 2.91-3.08
8 Tb 0.0000 0.3911 0.8186  7 Pd 2.91-3.08

No. 4
The following is a DFT calculation (PBE) of an optimized crystal structure of Nb2Co2SnPb.

Computed properties:
The space-group type is Pm, No. 6.

a b c (Å): 10.4076 4.2467 10.4141
angles (deg): 90.00 109.49 90.00
Last column: nearest neighbours and their distance in Å.
Positions (direct):
1 Co 0.0008 0.0000 0.0051  4 Nb 2.53-2.61, 3 Sn 2.58-2.60, 1 Pb 2.64
2 Co 0.3736 0.5000 0.1280  4 Nb 2.56-2.63, 3 Sn 2.58-2.59, 1 Pb 2.63
3 Co 0.7461 0.0000 0.2463  2 Sn 2.57-2.58, 4 Nb 2.57-2.65, 2 Pb 2.63
4 Co 0.1284 0.5000 0.3742  4 Nb 2.55-2.61, 3 Sn 2.58-2.59, 1 Pb 2.63
5 Co 0.4967 0.0000 0.4966  2 Sn 2.57-2.58, 4 Nb 2.59-2.62, 2 Pb 2.62
6 Co 0.8743 0.5000 0.6243  4 Pb 2.60-2.61, 4 Nb 2.61-2.64
7 Co 0.2510 0.0000 0.7459  1 Sn 2.57, 4 Nb 2.58-2.69, 3 Pb 2.62
8 Co 0.6289 0.5000 0.8787  4 Nb 2.56-2.63, 2 Sn 2.58, 2 Pb 2.63
9 Nb 0.2503 0.0000 0.0038  4 Co 2.59-2.69
10 Nb 0.6251 0.5000 0.1252  4 Co 2.57-2.63
11 Nb 0.0017 0.0000 0.2486  4 Co 2.53-2.65
12 Nb 0.3734 0.5000 0.3734  4 Co 2.55-2.59
13 Nb 0.7482 0.0000 0.4982  4 Co 2.61-2.62
14 Nb 0.1267 0.5000 0.6232  4 Co 2.59-2.63
15 Nb 0.4998 0.0000 0.7497  4 Co 2.58-2.63
16 Nb 0.8749 0.5000 0.8783  4 Co 2.56-2.64
17 Pb 0.8756 0.5000 0.3740  4 Co 2.61-2.63
18 Pb 0.6243 0.5000 0.6250  4 Co 2.60-2.63
19 Pb 0.0006 0.0000 0.7511  4 Co 2.61-2.64
20 Pb 0.3750 0.5000 0.8761  4 Co 2.62-2.63
21 Sn 0.7499 0.0000 0.0005  4 Co 2.57-2.60
22 Sn 0.1250 0.5000 0.1252  4 Co 2.58
23 Sn 0.4996 0.0000 0.2498  4 Co 2.58-2.59
24 Sn 0.2501 0.0000 0.4988  4 Co 2.57-2.59

No. 5
The following is a DFT calculation (PBE) of an optimized crystal structure of Nd2Al.

Computed properties:
The space-group type is Fd-3m, No. 227.

a b c (Å): 6.3443 6.3443 6.3443
angles (deg): 60.00 60.00 60.00
Last column: nearest neighbours and their distance in Å.
Positions (direct):
1 Al 0.0000 0.0000 0.0000  12 Nd 3.72, 4 Al 3.89
2 Al 0.2500 0.2500 0.2500  12 Nd 3.72, 4 Al 3.89
3 Nd 0.6250 0.6250 0.1250  6 Nd 3.17
4 Nd 0.6250 0.1250 0.6250  6 Nd 3.17
5 Nd 0.1250 0.6250 0.6250  6 Nd 3.17
6 Nd 0.6250 0.6250 0.6250  6 Nd 3.17

No. 6
The following is a DFT calculation (PBE) of an optimized crystal structure of GePd.

Computed properties:
The space-group type is P-6m2, No. 187.

a b c (Å): 3.0464 3.0464 4.0032
angles (deg): 90.00 90.00 120.00
Last column: nearest neighbours and their distance in Å.
Positions (direct):
1 Ge 0.6667 0.3333 0.7500  6 Pd 2.66
2 Pd 0.3333 0.6667 0.2500  6 Ge 2.66

No. 7
The following is a DFT calculation (PBE) of an optimized crystal structure of Nd2Sm2Se7.

Computed properties:
The space-group type is Amm2, No. 38.

a b c (Å): 10.6360 7.2254 7.2254
angles (deg): 34.77 90.00 90.00
Last column: nearest neighbours and their distance in Å.
Positions (direct):
1 Nd 0.0000 0.9810 0.9810  6 Se 2.89-3.00
2 Nd 0.5000 0.9872 0.9872  8 Se 2.89-3.17
3 Se 0.2484 0.0662 0.0662  2 Sm 2.88, 2 Nd 2.89
4 Se 0.7516 0.0662 0.0662  2 Sm 2.88, 2 Nd 2.89
5 Se 0.0000 0.3300 0.3300  2 Nd 3.00
6 Se 0.3841 0.3441 0.3441  1 Se 2.47
7 Se 0.6159 0.3441 0.3441  1 Se 2.47
8 Se 0.0000 0.6213 0.6213  2 Sm 2.83, 2 Nd 2.90
9 Se 0.5000 0.6327 0.6327  2 Sm 2.91, 2 Nd 2.95
10 Sm 0.2427 0.7048 0.7048  4 Se 2.83-2.91
11 Sm 0.7573 0.7048 0.7048  4 Se 2.83-2.91

No. 8
The following is a DFT calculation (PBE) of an optimized crystal structure of Nd2Ho2CBr2Cl3.

Computed properties:
The space-group type is C2/m, No. 12. The energy above the lowest structure with this stoichiometry comes out at 1 meV per atom.

a b c (Å): 8.9249 8.9249 8.1899
angles (deg): 101.60 101.60 24.91
Last column: nearest neighbours and their distance in Å.
Positions (direct):
1 Br 0.1709 0.1709 0.3303  2 Ho 2.84, 1 Nd 3.00
2 Br 0.8291 0.8291 0.6697  2 Ho 2.84, 1 Nd 3.00
3 C 0.5000 0.5000 0.0000  2 Ho 2.39, 4 Nd 2.60
4 Cl 0.8247 0.8247 0.1420  2 Ho 2.75, 1 Nd 2.93
5 Cl 0.5000 0.5000 0.5000  4 Nd 3.04
6 Cl 0.1753 0.1753 0.8580  2 Ho 2.75, 1 Nd 2.93
7 Ho 0.6400 0.6400 0.0701  1 C 2.39
8 Ho 0.3600 0.3600 0.9299  1 C 2.39
9 Nd 0.9965 0.9965 0.2119  2 C 2.60
10 Nd 0.0035 0.0035 0.7881  2 C 2.60

No. 9
The following is a DFT calculation (PBE) of an optimized crystal structure of Dy2Fe.

Computed properties:
The space-group type is P4_2/mnm, No. 136. For the formation energy, the calculation gives 179.7 meV per atom.

a b c (Å): 6.1582 6.1582 4.0328
angles (deg): 90.00 90.00 90.00
Last column: nearest neighbours and their distance in Å.
Positions (direct):
1 Dy 0.3006 0.3006 0.0000  3 Fe 2.62-2.66
2 Dy 0.6994 0.6994 0.0000  3 Fe 2.62-2.66
3 Dy 0.8006 0.1994 0.5000  3 Fe 2.62-2.66
4 Dy 0.1994 0.8006 0.5000  3 Fe 2.62-2.66
5 Fe 0.0000 0.0000 0.0000  6 Dy 2.62-2.66
6 Fe 0.5000 0.5000 0.5000  6 Dy 2.62-2.66

No. 10
The following is a DFT calculation (PBE) of an optimized crystal structure of Tb3Zn3NiAu2.

Computed properties:
The space-group type is P-62m, No. 189. For the formation energy, the calculation gives -610.6 meV per atom.

a b c (Å): 7.3014 7.3014 3.9226
angles (deg): 90.00 90.00 120.00
Last column: nearest neighbours and their distance in Å.
Positions (direct):
1 Au 0.6667 0.3333 0.5000  3 Zn 2.89, 6 Tb 2.98
2 Au 0.3333 0.6667 0.5000  3 Zn 2.89, 6 Tb 2.98
3 Ni 0.0000 0.0000 0.0000  6 Zn 2.58
4 Tb 0.6045 0.0000 0.0000  1 Ni 2.89, 4 Au 2.98, 4 Zn 3.19
5 Tb 0.3955 0.3955 0.0000  1 Ni 2.89, 4 Au 2.98, 4 Zn 3.19
6 Tb 0.0000 0.6045 0.0000  1 Ni 2.89, 4 Au 2.98, 4 Zn 3.19
7 Zn 0.2285 0.0000 0.5000  2 Ni 2.58
8 Zn 0.0000 0.2285 0.5000  2 Ni 2.58
9 Zn 0.7715 0.7715 0.5000  2 Ni 2.58

No. 11
The following is a DFT calculation (PBE) of an optimized crystal structure of SrThZr.

Computed properties:
The space-group type is F-43m, No. 216. The energy above the lowest structure with this stoichiometry comes out at 0 meV per atom.

a b c (Å): 5.4277 5.4277 5.4277
angles (deg): 60.00 60.00 60.00
Last column: nearest neighbours and their distance in Å.
Positions (direct):
1 Sr 0.2500 0.2500 0.2500  4 Zr 3.32
2 Th 0.7500 0.7500 0.7500  4 Zr 3.32
3 Zr 0.0000 0.0000 0.0000  4 Sr 3.32, 4 Th 3.32

No. 12
The following is a DFT calculation (PBE) of an optimized crystal structure of TmNi4Ag.

Computed properties:
The space-group type is F-43m, No. 216. For the formation energy, the calculation gives -325.7 meV per atom.

a b c (Å): 4.9022 4.9022 4.9022
angles (deg): 60.00 60.00 60.00
Last column: nearest neighbours and their distance in Å.
Positions (direct):
1 Ag 0.5000 0.5000 0.5000  12 Ni 2.87, 4 Tm 3.00
2 Ni 0.1252 0.6243 0.1252  6 Ni 2.45-2.46
3 Ni 0.1252 0.1252 0.1252  6 Ni 2.45-2.46
4 Ni 0.6243 0.1252 0.1252  6 Ni 2.45-2.46
5 Ni 0.1252 0.1252 0.6243  6 Ni 2.45-2.46
6 Tm 0.7500 0.7500 0.7500  12 Ni 2.87, 4 Ag 3.00

In the order shown, the computed electronic total energy values come out to -2.12; -8.66; -5.81; -7.16; -4.06; -5.19; -5.51; -5.26; -5.66; -3.92; -4.85; -5.25 eV per atom.